Entry 1:
## MgCdBiCl2 (PBE-GGA)

Data for MgCdBiCl2 after structural relaxation.

```
data_MgCdBiCl2
_cell_length_a 5.491
_cell_length_b 6.041
_cell_length_c 5.491
_cell_angle_alpha 90.00
_cell_angle_beta 90.00
_cell_angle_gamma 90.00
_space_group_name_H-M_alt 'P 1'
_space_group_IT_number 1
_space_group_name_Hall 'P 1'
loop_
_atom_site_label
_atom_site_fract_x
_atom_site_fract_y
_atom_site_fract_z
Mg1 0.000 0.500 0.000
Cl1 0.000 0.000 0.500
Cl2 0.500 0.000 0.000
Bi1 0.000 0.000 0.000
Cd1 0.500 0.500 0.500
```

Symmetry = No. 123
ΔE_f (raw) = -259 meV per atom
Crystal system = tetragonal

***

Entry 2:
## Cs2RbAg2Cl7 (PBE-GGA)

Data for Cs2RbAg2Cl7 after structural relaxation.

```
data_Cs2RbAg2Cl7
_cell_length_a 5.231
_cell_length_b 5.231
_cell_length_c 14.047
_cell_angle_alpha 79.29
_cell_angle_beta 79.29
_cell_angle_gamma 90.00
_space_group_name_H-M_alt 'P 1'
_space_group_IT_number 1
_space_group_name_Hall 'P 1'
loop_
_atom_site_label
_atom_site_fract_x
_atom_site_fract_y
_atom_site_fract_z
Cs1 0.820 0.820 0.360
Cs2 0.180 0.180 0.640
Rb1 0.000 0.000 0.000
Ag1 0.593 0.593 0.813
Ag2 0.407 0.407 0.187
Cl1 0.500 0.500 0.000
Cl2 0.312 0.312 0.378
Cl3 0.688 0.688 0.622
Cl4 0.911 0.411 0.179
Cl5 0.411 0.911 0.179
Cl6 0.589 0.089 0.821
Cl7 0.089 0.589 0.821
```

Symmetry = No. 139
ΔE_f (raw) = -1218 meV per atom
Crystal system = tetragonal

***

Entry 3:
## Er2HfSc5 (PBE-GGA)

Data for Er2HfSc5 after structural relaxation.

```
data_Er2HfSc5
_cell_length_a 6.581
_cell_length_b 6.581
_cell_length_c 6.581
_cell_angle_alpha 90.64
_cell_angle_beta 119.63
_cell_angle_gamma 119.63
_space_group_name_H-M_alt 'P 1'
_space_group_IT_number 1
_space_group_name_Hall 'P 1'
loop_
_atom_site_label
_atom_site_fract_x
_atom_site_fract_y
_atom_site_fract_z
Er1 0.500 0.278 0.778
Er2 0.500 0.778 0.278
Hf1 0.000 0.778 0.778
Sc1 0.500 0.778 0.778
Sc2 0.000 0.778 0.278
Sc3 0.000 0.278 0.778
Sc4 0.500 0.278 0.278
Sc5 0.000 0.277 0.277
```

Symmetry = No. 139
Formation energy from the elements = 79 meV/atom
Crystal system = tetragonal

***

Entry 4:
## BeAg2Pt (PBE-GGA)

Data for BeAg2Pt after structural relaxation.

```
data_BeAg2Pt
_cell_length_a 6.608
_cell_length_b 6.608
_cell_length_c 3.604
_cell_angle_alpha 74.19
_cell_angle_beta 74.19
_cell_angle_gamma 24.96
_space_group_name_H-M_alt 'P 1'
_space_group_IT_number 1
_space_group_name_Hall 'P 1'
loop_
_atom_site_label
_atom_site_fract_x
_atom_site_fract_y
_atom_site_fract_z
Be1 0.750 0.750 0.750
Ag1 0.071 0.071 0.929
Ag2 0.429 0.429 0.571
Pt1 0.250 0.250 0.250
```

Symmetry = No. 71
Formation energy from the elements = -112 meV/atom
Crystal system = orthorhombic

***

Entry 5:
## Pd2RuSeS (PBE-GGA)

Data for Pd2RuSeS after structural relaxation.

```
data_Pd2RuSeS
_cell_length_a 4.610
_cell_length_b 4.903
_cell_length_c 4.610
_cell_angle_alpha 90.00
_cell_angle_beta 90.00
_cell_angle_gamma 90.00
_space_group_name_H-M_alt 'P 1'
_space_group_IT_number 1
_space_group_name_Hall 'P 1'
loop_
_atom_site_label
_atom_site_fract_x
_atom_site_fract_y
_atom_site_fract_z
Ru1 0.500 0.500 0.500
S1 0.000 0.500 0.000
Se1 0.000 0.000 0.000
Pd1 0.000 0.000 0.500
Pd2 0.500 0.000 0.000
```

Symmetry = No. 123
ΔE_f (raw) = 1028 meV per atom
Crystal system = tetragonal

***

Entry 6:
## Rb2UPt3S6 (PBE-GGA)

Data for Rb2UPt3S6 after structural relaxation.

```
data_Rb2UPt3S6
_cell_length_a 11.334
_cell_length_b 9.817
_cell_length_c 8.954
_cell_angle_alpha 74.12
_cell_angle_beta 56.42
_cell_angle_gamma 49.45
_space_group_name_H-M_alt 'P 1'
_space_group_IT_number 1
_space_group_name_Hall 'P 1'
loop_
_atom_site_label
_atom_site_fract_x
_atom_site_fract_y
_atom_site_fract_z
Rb1 0.750 0.750 0.750
Rb2 0.250 0.250 0.250
Rb3 0.674 0.326 0.674
Rb4 0.326 0.674 0.326
U1 0.833 0.833 0.167
U2 0.167 0.167 0.833
Pt1 0.173 0.502 0.827
Pt2 0.498 0.827 0.502
Pt3 0.827 0.498 0.173
Pt4 0.502 0.173 0.498
Pt5 0.171 0.829 0.829
Pt6 0.829 0.171 0.171
S1 0.982 0.815 0.802
S2 0.400 0.802 0.815
S3 0.802 0.400 0.982
S4 0.815 0.982 0.400
S5 0.018 0.185 0.198
S6 0.600 0.198 0.185
S7 0.198 0.600 0.018
S8 0.185 0.018 0.600
S9 0.596 0.810 0.190
S10 0.404 0.190 0.810
S11 0.190 0.404 0.596
S12 0.810 0.596 0.404
```

Symmetry = No. 69
ΔE_f (raw) = -958 meV per atom
Crystal system = orthorhombic

***

Entry 7:
## Er2NpHg (PBE-GGA)

Data for Er2NpHg after structural relaxation.

```
data_Er2NpHg
_cell_length_a 3.398
_cell_length_b 3.398
_cell_length_c 9.049
_cell_angle_alpha 90.00
_cell_angle_beta 90.00
_cell_angle_gamma 90.00
_space_group_name_H-M_alt 'P 1'
_space_group_IT_number 1
_space_group_name_Hall 'P 1'
loop_
_atom_site_label
_atom_site_fract_x
_atom_site_fract_y
_atom_site_fract_z
Np1 0.500 0.500 0.000
Hg1 0.500 0.500 0.500
Er1 0.000 0.000 0.734
Er2 0.000 0.000 0.266
```

Symmetry = No. 123
Formation energy from the elements = 46 meV/atom
Crystal system = tetragonal

***

Entry 8:
## ScP2SeO (PBE-GGA)

Data for ScP2SeO after structural relaxation.

```
data_ScP2SeO
_cell_length_a 4.817
_cell_length_b 4.817
_cell_length_c 3.779
_cell_angle_alpha 90.00
_cell_angle_beta 90.00
_cell_angle_gamma 90.00
_space_group_name_H-M_alt 'P 1'
_space_group_IT_number 1
_space_group_name_Hall 'P 1'
loop_
_atom_site_label
_atom_site_fract_x
_atom_site_fract_y
_atom_site_fract_z
Sc1 0.500 0.500 0.500
P1 0.000 0.500 0.000
P2 0.500 0.000 0.000
O1 0.000 0.000 0.500
Se1 0.000 0.000 0.000
```

Symmetry = No. 123
ΔE_f (raw) = -35 meV per atom
Crystal system = tetragonal
Offset from the most stable computed form = 0.57 eV per formula unit

***

The calculation returns the following total magnetization values, one per record and in order: 0.00, 0.00, 0.01, 0.00, 2.80, 4.01, 4.31, 0.00 μB per cell.
The calculation returns the following raw total energy values, one per record and in order: -2.28, -2.99, -6.26, -3.98, -4.43, -5.63, -5.55, -5.15 eV/atom.